(1)
Entry from the Alexandria database: a geometry-optimized MgAg2Sb2 structure (PBE).

## Properties
Crystal system: tetragonal
Space group: I4/mmm
Total DFT energy (no corrections), Ha/atom: -0.109
Magnetic moment, μB/cell: 0.0
DOS(E_F), states/eV/f.u.: 3.0
ΔE to the lowest computed polymorph, eV/f.u.: 0.51

The structure in POSCAR format:
```
MgAg2Sb2
1.0
-2.164 2.164 6.740
2.164 -2.164 6.740
2.164 2.164 -6.740
Mg Ag Sb
1 2 2
Cartesian
0.000 0.000 0.000
0.000 0.000 5.417
0.000 0.000 8.062
2.164 0.000 3.370
0.000 2.164 3.370
```

=====

(2)
Entry from the Alexandria database: a geometry-optimized MgAgSb2 structure (PBE).

## Properties
Crystal system: trigonal
Space group: R3m
Total DFT energy (no corrections), Ha/atom: -0.119
Magnetic moment, μB/cell: 0.0
DOS(E_F), states/eV/f.u.: 1.5

The structure in POSCAR format:
```
MgAgSb2
1.0
2.281 1.317 5.805
-2.281 1.317 5.805
0.000 -2.633 5.805
Mg Ag Sb
1 1 2
Cartesian
0.000 0.000 0.000
0.000 0.000 2.910
0.000 0.000 7.365
0.000 0.000 10.261
```

=====

(3)
Entry from the Alexandria database: a geometry-optimized MgAg2Sb2 structure (PBE).

## Properties
Crystal system: tetragonal
Space group: P4/mbm
Total DFT energy (no corrections), Ha/atom: -0.111
Magnetic moment, μB/cell: 0.0
DOS(E_F), states/eV/f.u.: 2.7
ΔE to the lowest computed polymorph, eV/f.u.: 0.17

The structure in POSCAR format:
```
MgAg2Sb2
1.0
8.024 0.000 0.000
0.000 8.024 0.000
0.000 0.000 3.726
Mg Ag Sb
2 4 4
Cartesian
0.000 0.000 0.000
4.012 4.012 0.000
1.013 2.998 1.863
2.998 7.010 1.863
5.025 1.013 1.863
7.010 5.025 1.863
1.400 5.412 0.000
2.611 1.400 0.000
5.412 6.623 0.000
6.623 2.611 0.000
```

=====

(4)
Entry from the Alexandria database: a geometry-optimized MgAg4Sb2 structure (PBE).

## Properties
Crystal system: tetragonal
Space group: I4/mmm
Total DFT energy (no corrections), Ha/atom: -0.097
Magnetic moment, μB/cell: 0.0
DOS(E_F), states/eV/f.u.: 2.2

The structure in POSCAR format:
```
MgAg4Sb2
1.0
-2.460 2.460 7.241
2.460 -2.460 7.241
2.460 2.460 -7.241
Mg Ag Sb
1 4 2
Cartesian
0.000 0.000 0.000
2.460 0.000 0.000
0.000 0.000 2.688
0.000 2.460 0.000
0.000 0.000 11.794
0.000 0.000 5.423
0.000 0.000 9.059
```

=====

(5)
Entry from the Alexandria database: a geometry-optimized MgAgSb2 structure (PBE).

## Properties
Crystal system: cubic
Space group: Fm-3m
Total DFT energy (no corrections), Ha/atom: -0.114
Magnetic moment, μB/cell: 0.0
DOS(E_F), states/eV/f.u.: 1.8

The structure in POSCAR format:
```
MgAgSb2
1.0
0.000 3.621 3.621
3.621 0.000 3.621
3.621 3.621 0.000
Mg Ag Sb
1 1 2
Cartesian
0.000 0.000 0.000
3.621 3.621 3.621
1.810 1.810 1.810
5.431 5.431 5.431
```

=====

(6)
Entry from the Alexandria database: a geometry-optimized MgAgSb structure (PBE).

## Properties
Crystal system: cubic
Space group: F-43m
Total DFT energy (no corrections), Ha/atom: -0.113
Magnetic moment, μB/cell: 0.0
DOS(E_F), states/eV/f.u.: 0.9
ΔE to the lowest computed polymorph, eV/f.u.: 0.00

The structure in POSCAR format:
```
MgAgSb
1.0
0.000 3.287 3.287
3.287 0.000 3.287
3.287 3.287 0.000
Mg Ag Sb
1 1 1
Cartesian
0.000 0.000 0.000
4.931 4.931 4.931
3.287 3.287 3.287
```

=====

(7)
Entry from the Alexandria database: a geometry-optimized MgAg2Sb structure (PBE).

## Properties
Crystal system: tetragonal
Space group: I-4m2
Total DFT energy (no corrections), Ha/atom: -0.108
Magnetic moment, μB/cell: 0.0
DOS(E_F), states/eV/f.u.: 0.9

The structure in POSCAR format:
```
MgAg2Sb
1.0
-2.151 2.151 4.411
2.151 -2.151 4.411
2.151 2.151 -4.411
Mg Ag Sb
1 2 1
Cartesian
0.000 0.000 0.000
2.151 0.000 2.205
0.000 0.000 4.411
0.000 2.151 2.205
```

=====

(8)
Entry from the Alexandria database: a geometry-optimized MgAg2Sb structure (PBE).

## Properties
Crystal system: monoclinic
Space group: C2/m
Total DFT energy (no corrections), Ha/atom: -0.105
Magnetic moment, μB/cell: 0.0
DOS(E_F), states/eV/f.u.: 1.4

The structure in POSCAR format:
```
MgAg2Sb
1.0
3.011 -5.106 0.000
3.011 5.106 0.000
-1.780 0.000 2.754
Mg Ag Sb
1 2 1
Cartesian
0.000 0.000 0.000
0.615 2.553 1.377
0.615 -2.553 1.377
3.011 0.000 0.000
```